A geometry-optimized SrPHRu structure. Source: Alexandria via LeMat-Bulk, functional GGA-PBE.

a b c (Å): 4.0554 4.0554 8.4504
angles (deg): 90.00 90.00 90.00
Atoms (fractional coordinates):
P1 0.5000 0.0000 0.1386
Ru1 0.5000 0.5000 0.0000
Sr1 0.0000 0.5000 0.3376
H1 0.5000 0.5000 0.5000
H2 0.0000 0.0000 0.5000
Ru2 0.0000 0.0000 0.0000
P2 0.0000 0.5000 0.8614
Sr2 0.5000 0.0000 0.6624

Summary:
DOS(E_F) = 0.232 states/eV per atom
Calculated density = 5.27 g/cm³
E = -5.76 eV per atom
Symmetry = No. 129
Total moment = 0.00 μB per formula unit